VASP calculation (PBE) on a geometry-optimized HoWN4 structure.

Geometry as POSCAR:
```
HoWN4
1.0
3.5621 -3.1849 0.0000
3.5621 3.1849 0.0000
0.0000 0.0000 7.2708
Ho W N
2 2 8
Direct
0.0840 0.9160 0.7500
0.9160 0.0840 0.2500
0.4173 0.5827 0.2500
0.5827 0.4173 0.7500
0.1919 0.3985 0.7500
0.2342 0.7658 0.0468
0.2342 0.7658 0.4532
0.3985 0.1919 0.2500
0.6015 0.8081 0.7500
0.7658 0.2342 0.5468
0.7658 0.2342 0.9532
0.8081 0.6015 0.2500
```

Computed properties:
space-group type: No. 63
M_tot: 0.01 μB/cell
calculated volume: 165 Å³/cell
uncorrected formation energy: 1.3 kJ/mol of atoms
E: -101.5 eV per cell
mass density: 8.15 g/cm³

VASP calculation (PBE) on a geometry-optimized TiPbS2 structure.

Geometry as POSCAR:
```
TiPbS2
1.0
-2.8144 2.8144 5.5598
2.8144 -2.8144 5.5598
2.8144 2.8144 -5.5598
Ti Pb S
2 2 4
Direct
0.3750 0.6250 0.7500
0.6250 0.3750 0.2500
0.1250 0.8750 0.2500
0.8750 0.1250 0.7500
0.1472 0.3972 0.7500
0.3972 0.1472 0.2500
0.6028 0.8528 0.7500
0.8528 0.6028 0.2500
```

Computed properties:
space-group type: No. 141
M_tot: 4.00 μB/cell
calculated volume: 176 Å³/cell
uncorrected formation energy: -56.4 kJ/mol of atoms
E: -44.4 eV per cell
mass density: 6.02 g/cm³

VASP calculation (PBE) on a geometry-optimized CeMg15Pb4 structure.

Geometry as POSCAR:
```
CeMg15Pb4
1.0
4.6651 0.0000 0.0000
0.0000 4.6651 0.0000
0.0000 0.0000 22.6015
Ce Mg Pb
1 15 4
Direct
0.0000 0.0000 0.0000
0.0000 0.5000 0.1039
0.0000 0.5000 0.3021
0.0000 0.5000 0.5000
0.0000 0.5000 0.6979
0.0000 0.5000 0.8961
0.5000 0.0000 0.1039
0.5000 0.0000 0.3021
0.5000 0.0000 0.5000
0.5000 0.0000 0.6979
0.5000 0.0000 0.8961
0.5000 0.5000 0.0000
0.5000 0.5000 0.2063
0.5000 0.5000 0.4010
0.5000 0.5000 0.5990
0.5000 0.5000 0.7937
0.0000 0.0000 0.1985
0.0000 0.0000 0.4001
0.0000 0.0000 0.5999
0.0000 0.0000 0.8015
```

Computed properties:
space-group type: No. 123
M_tot: 1.08 μB/cell
calculated volume: 492 Å³/cell
E: -45.2 eV per cell
mass density: 4.50 g/cm³

VASP calculation (PBE) on a geometry-optimized LaPr3Tm3 structure.

Geometry as POSCAR:
```
LaPr3Tm3
1.0
4.7241 2.7275 6.2529
-4.7241 2.7275 6.2529
0.0000 -5.4549 6.2529
La Pr Tm
2 6 6
Direct
0.0902 0.0902 0.0902
0.9098 0.9098 0.9098
0.2302 0.3742 0.6627
0.3373 0.7697 0.6258
0.3742 0.6627 0.2302
0.6258 0.3373 0.7698
0.6627 0.2302 0.3742
0.7698 0.6258 0.3373
0.0535 0.1911 0.4737
0.1911 0.4737 0.0535
0.4737 0.0535 0.1911
0.5263 0.9465 0.8089
0.8089 0.5263 0.9465
0.9465 0.8089 0.5263
```

Computed properties:
space-group type: No. 148
M_tot: 0.00 μB/cell
calculated volume: 483 Å³/cell
E: -63.5 eV per cell
mass density: 7.34 g/cm³

VASP calculation (PBE) on a geometry-optimized Nd3Y structure.

Geometry as POSCAR:
```
Nd3Y
1.0
-2.5907 2.5907 5.1506
2.5907 -2.5907 5.1506
2.5907 2.5907 -5.1506
Nd Y
3 1
Direct
0.0000 0.0000 0.0000
0.2500 0.7500 0.5000
0.7500 0.2500 0.5000
0.5000 0.5000 0.0000
```

Computed properties:
energy above the lowest structure with this stoichiometry: 16 meV per atom
space-group type: No. 139
M_tot: 0.00 μB/cell
calculated volume: 138 Å³/cell
E: -20.7 eV per cell
mass density: 6.26 g/cm³

VASP calculation (PBE) on a geometry-optimized Tb2Tm3 structure.

Geometry as POSCAR:
```
Tb2Tm3
1.0
5.8577 -3.1040 0.0000
5.8577 3.1040 0.0000
-3.1100 0.0000 8.5340
Tb Tm
4 6
Direct
0.0683 0.7330 0.5503
0.2670 0.9317 0.9497
0.7330 0.0683 0.0503
0.9317 0.2670 0.4497
0.1331 0.4645 0.8496
0.3344 0.6656 0.2500
0.4645 0.1331 0.3496
0.5355 0.8669 0.6504
0.6656 0.3344 0.7500
0.8669 0.5355 0.1504
```

Computed properties:
space-group type: No. 15
M_tot: 0.00 μB/cell
calculated volume: 310 Å³/cell
E: -45.3 eV per cell
mass density: 8.83 g/cm³

VASP calculation (PBE) on a geometry-optimized TbTm3Bi4 structure.

Geometry as POSCAR:
```
TbTm3Bi4
1.0
6.2832 0.0000 0.0000
0.0000 6.2832 0.0000
0.0000 0.0000 6.2832
Tb Tm Bi
1 3 4
Direct
0.0000 0.0000 0.0000
0.0000 0.5000 0.5000
0.5000 0.0000 0.5000
0.5000 0.5000 0.0000
0.0000 0.0000 0.5000
0.0000 0.5000 0.0000
0.5000 0.0000 0.0000
0.5000 0.5000 0.5000
```

Computed properties:
energy above the lowest structure with this stoichiometry: 0 meV per atom
space-group type: No. 221
M_tot: 0.00 μB/cell
calculated volume: 248 Å³/cell
E: -40.0 eV per cell
mass density: 10.05 g/cm³

VASP calculation (PBE) on a geometry-optimized KTl2Ag2 structure.

Geometry as POSCAR:
```
KTl2Ag2
1.0
8.6278 0.0000 0.0000
0.0000 8.6278 0.0000
0.0000 0.0000 3.6757
K Tl Ag
2 4 4
Direct
0.0000 0.0000 0.0000
0.5000 0.5000 0.0000
0.1662 0.3338 0.5000
0.3338 0.8338 0.5000
0.6662 0.1662 0.5000
0.8338 0.6662 0.5000
0.1223 0.6223 0.0000
0.3777 0.1223 0.0000
0.6223 0.8777 0.0000
0.8777 0.3777 0.0000
```

Computed properties:
energy above the lowest structure with this stoichiometry: 68 meV per atom
space-group type: No. 127
M_tot: 0.00 μB/cell
calculated volume: 274 Å³/cell
E: -22.5 eV per cell
mass density: 8.05 g/cm³

VASP calculation (PBE) on a geometry-optimized AcInBiRh structure.

Geometry as POSCAR:
```
AcInBiRh
1.0
0.0000 3.7502 3.7502
3.7502 0.0000 3.7502
3.7502 3.7502 0.0000
Ac In Bi Rh
1 1 1 1
Direct
0.0000 0.0000 0.0000
0.2500 0.2500 0.2500
0.5000 0.5000 0.5000
0.7500 0.7500 0.7500
```

Computed properties:
space-group type: No. 216
M_tot: 0.00 μB/cell
calculated volume: 105 Å³/cell
E: -19.2 eV per cell
mass density: 10.29 g/cm³

VASP calculation (PBE) on a geometry-optimized Li2Si2AsPd5 structure.

Geometry as POSCAR:
```
Li2Si2AsPd5
1.0
10.0706 0.0000 0.0000
0.0000 10.0706 0.0000
0.0000 0.0000 3.1495
Li Si As Pd
4 4 2 10
Direct
0.1672 0.3328 0.0000
0.3328 0.8328 0.0000
0.6672 0.1672 0.0000
0.8328 0.6672 0.0000
0.1315 0.6315 0.0000
0.3685 0.1315 0.0000
0.6315 0.8685 0.0000
0.8685 0.3685 0.0000
0.0000 0.0000 0.0000
0.5000 0.5000 0.0000
0.0000 0.5000 0.5000
0.0900 0.8042 0.5000
0.1958 0.0900 0.5000
0.3042 0.5900 0.5000
0.4100 0.3042 0.5000
0.5000 0.0000 0.5000
0.5900 0.6958 0.5000
0.6958 0.4100 0.5000
0.8042 0.9100 0.5000
0.9100 0.1958 0.5000
```

Computed properties:
space-group type: No. 127
M_tot: 0.00 μB/cell
calculated volume: 319 Å³/cell
uncorrected formation energy: -52.1 kJ/mol of atoms
E: -101.4 eV per cell
mass density: 7.04 g/cm³

VASP calculation (PBE) on a geometry-optimized SiPS2Br structure.

Geometry as POSCAR:
```
SiPS2Br
1.0
4.3738 0.0000 0.0000
0.0000 4.3738 0.0000
0.0000 0.0000 5.1828
Si P S Br
1 1 2 1
Direct
0.0000 0.0000 0.0000
0.0000 0.0000 0.5000
0.0000 0.5000 0.0000
0.5000 0.0000 0.0000
0.5000 0.5000 0.5000
```

Computed properties:
energy above the lowest structure with this stoichiometry: 0 meV per atom
space-group type: No. 123
M_tot: 0.00 μB/cell
calculated volume: 99 Å³/cell
uncorrected formation energy: 52.1 kJ/mol of atoms
E: -18.1 eV per cell
mass density: 3.40 g/cm³

VASP calculation (PBE) on a geometry-optimized La2MgInRu structure.

Geometry as POSCAR:
```
La2MgInRu
1.0
5.3343 0.0000 0.0000
0.0000 5.3343 0.0000
0.0000 0.0000 5.2234
La Mg In Ru
2 1 1 1
Direct
0.0000 0.5000 0.0000
0.5000 0.0000 0.0000
0.0000 0.0000 0.5000
0.5000 0.5000 0.5000
0.0000 0.0000 0.0000
```

Computed properties:
energy above the lowest structure with this stoichiometry: 0 meV per atom
space-group type: No. 123
M_tot: 0.00 μB/cell
calculated volume: 149 Å³/cell
E: -24.7 eV per cell
mass density: 5.79 g/cm³

Which of these has the highest E? SiPS2Br

Copy entry 12 word for word.
VASP calculation (PBE) on a geometry-optimized La2MgInRu structure.

Geometry as POSCAR:
```
La2MgInRu
1.0
5.3343 0.0000 0.0000
0.0000 5.3343 0.0000
0.0000 0.0000 5.2234
La Mg In Ru
2 1 1 1
Direct
0.0000 0.5000 0.0000
0.5000 0.0000 0.0000
0.0000 0.0000 0.5000
0.5000 0.5000 0.5000
0.0000 0.0000 0.0000
```

Computed properties:
energy above the lowest structure with this stoichiometry: 0 meV per atom
space-group type: No. 123
M_tot: 0.00 μB/cell
calculated volume: 149 Å³/cell
E: -24.7 eV per cell
mass density: 5.79 g/cm³

Which of these has the highest E? SiPS2Br